Crystalline MoIrW2 at its relaxed geometry. Source: Alexandria via LeMat-Bulk, functional PBE.

Geometry as POSCAR:
```
MoIrW2
1.0
5.761 0.000 0.000
0.000 5.761 0.000
0.000 0.000 11.408
Mo Ir W
4 4 8
Cartesian
0.000 0.000 0.000
0.000 2.881 2.852
2.881 0.000 8.556
2.881 2.881 5.704
0.000 0.000 5.704
0.000 2.881 8.556
2.881 0.000 2.852
2.881 2.881 0.000
1.382 1.440 7.130
1.440 4.262 9.982
1.440 4.379 4.278
1.499 1.440 1.426
4.262 4.321 1.426
4.321 1.382 4.278
4.321 1.499 9.982
4.379 4.321 7.130
```

## Properties
Energy above the most stable polymorph in this dataset (meV/atom): 1706
Energy (eV per atom): -9.689
Space-group type: No. 122
Energy of formation from the pure elements (meV/atom): 1711